The following is a DFT calculation (PBE-GGA) of a geometry-optimized K2RhCl2F4 structure.

- mass density (g/cm3) = 3.0
- V (Å³ per cell) = 365
- raw formation energy (eV/f.u.) = -16.6

Unit cell a=6.540 b=6.540 c=8.541 alpha=90.00 beta=90.00 gamma=90.00
Space group I4/mmm (No. 139)
Symmetry-distinct sites (fractional):
K  0.000  0.500  0.250 (multiplicity 4)
Rh  0.000  0.000  0.000 (multiplicity 2)
Cl  0.000  0.000  0.272 (multiplicity 4)
F  0.211  0.211  0.000 (multiplicity 8)